(1)
DFT (GGA-PBE) results for Pm2CoGe3 after structural relaxation.

Properties
**Energy relative to the elements**: -689 meV per atom
**Calculated density**: 7.484 g/cm3
**Magnetization**: 0.00 Bohr magnetons per cell
**Calculated total energy**: -69.19 eV/cell

Unit cell a=8.3306 b=8.3290 c=5.9079 alpha=69.24 beta=69.21 gamma=41.54
Fractional coordinates of all 12 atoms:
1 Pm 0.2500 0.2500 0.2500
2 Pm 0.2503 0.7497 0.7497
3 Pm 0.7497 0.2503 0.2503
4 Pm 0.7500 0.7500 0.7500
5 Co 0.1660 0.1660 0.8340
6 Co 0.8340 0.8340 0.1660
7 Ge 0.1516 0.6741 0.3259
8 Ge 0.3258 0.3258 0.6742
9 Ge 0.3259 0.8484 0.1516
10 Ge 0.6741 0.1516 0.8484
11 Ge 0.6742 0.6742 0.3258
12 Ge 0.8484 0.3259 0.6741

***

(2)
DFT (GGA-PBE) results for Pm4CoGe2 after structural relaxation.

Properties
**Energy relative to the elements**: -505 meV per atom
**Calculated density**: 7.337 g/cm3
**Magnetization**: 0.00 Bohr magnetons per cell
**Calculated total energy**: -38.88 eV/cell

Unit cell a=6.0241 b=6.0241 c=8.4568 alpha=120.34 beta=120.34 gamma=43.57
Fractional coordinates of all 7 atoms:
1 Pm 0.0796 0.0796 0.3606
2 Pm 0.3224 0.3224 0.9313
3 Pm 0.6776 0.6776 0.0687
4 Pm 0.9204 0.9204 0.6394
5 Co 0.0000 0.0000 0.0000
6 Ge 0.3645 0.3645 0.3481
7 Ge 0.6355 0.6355 0.6519

***

(3)
DFT (GGA-PBE) results for PmCo5Ge3 after structural relaxation.

Properties
**Energy relative to the elements**: -325 meV per atom
**Calculated density**: 8.268 g/cm3
**Magnetization**: 4.87 Bohr magnetons per cell
**Calculated total energy**: -114.12 eV/cell

Unit cell a=6.3619 b=6.3619 c=11.3596 alpha=90.00 beta=90.00 gamma=144.93
Fractional coordinates of all 18 atoms:
1 Pm 0.1777 0.8223 0.7500
2 Pm 0.8223 0.1777 0.2500
3 Co 0.0000 0.0000 0.0000
4 Co 0.0000 0.0000 0.5000
5 Co 0.1900 0.8100 0.0627
6 Co 0.1900 0.8100 0.4373
7 Co 0.4507 0.5493 0.6438
8 Co 0.4507 0.5493 0.8562
9 Co 0.5493 0.4507 0.1438
10 Co 0.5493 0.4507 0.3562
11 Co 0.8100 0.1900 0.5627
12 Co 0.8100 0.1900 0.9373
13 Ge 0.1058 0.8942 0.2500
14 Ge 0.3770 0.6230 0.0472
15 Ge 0.3770 0.6230 0.4528
16 Ge 0.6230 0.3770 0.5472
17 Ge 0.6230 0.3770 0.9528
18 Ge 0.8942 0.1058 0.7500

***

(4)
DFT (GGA-PBE) results for Pm2Co2Ge3 after structural relaxation.

Properties
**Energy relative to the elements**: -572 meV per atom
**Calculated density**: 8.017 g/cm3
**Magnetization**: 2.16 Bohr magnetons per cell
**Calculated total energy**: -83.14 eV/cell

Unit cell a=9.2256 b=9.2256 c=6.8518 alpha=90.00 beta=90.00 gamma=153.61
Fractional coordinates of all 14 atoms:
1 Pm 0.0530 0.9470 0.7500
2 Pm 0.1607 0.8393 0.2500
3 Pm 0.8393 0.1607 0.7500
4 Pm 0.9470 0.0530 0.2500
5 Co 0.3039 0.6961 0.0602
6 Co 0.3039 0.6961 0.4398
7 Co 0.6961 0.3039 0.5602
8 Co 0.6961 0.3039 0.9398
9 Ge 0.2220 0.7780 0.7500
10 Ge 0.4328 0.5672 0.5614
11 Ge 0.4328 0.5672 0.9386
12 Ge 0.5672 0.4328 0.0614
13 Ge 0.5672 0.4328 0.4386
14 Ge 0.7780 0.2220 0.2500

***

(5)
DFT (GGA-PBE) results for PmCo2Ge3 after structural relaxation.

Properties
**Energy relative to the elements**: -405 meV per atom
**Calculated density**: 8.138 g/cm3
**Magnetization**: 0.00 Bohr magnetons per cell
**Calculated total energy**: -70.49 eV/cell

Unit cell a=6.2032 b=6.2032 c=5.2737 alpha=90.00 beta=90.00 gamma=75.21
Fractional coordinates of all 12 atoms:
1 Pm 0.1618 0.8382 0.7500
2 Pm 0.8382 0.1618 0.2500
3 Co 0.3011 0.3011 0.0000
4 Co 0.3011 0.3011 0.5000
5 Co 0.6989 0.6989 0.0000
6 Co 0.6989 0.6989 0.5000
7 Ge 0.0219 0.6073 0.2500
8 Ge 0.3927 0.9781 0.2500
9 Ge 0.4444 0.5556 0.2500
10 Ge 0.5556 0.4444 0.7500
11 Ge 0.6073 0.0219 0.7500
12 Ge 0.9781 0.3927 0.7500

***

(6)
DFT (GGA-PBE) results for Pm4CoGe2 after structural relaxation.

Properties
**Energy relative to the elements**: -338 meV per atom
**Calculated density**: 6.726 g/cm3
**Magnetization**: 0.00 Bohr magnetons per cell
**Calculated total energy**: -37.71 eV/cell

Unit cell a=8.8084 b=8.8084 c=8.8084 alpha=147.78 beta=147.78 gamma=46.21
Fractional coordinates of all 7 atoms:
1 Pm 0.0000 0.5000 0.5000
2 Pm 0.1814 0.1814 0.0000
3 Pm 0.5000 0.0000 0.5000
4 Pm 0.8186 0.8186 0.0000
5 Co 0.0000 0.0000 0.0000
6 Ge 0.3640 0.3640 0.0000
7 Ge 0.6360 0.6360 0.0000

***

(7)
DFT (GGA-PBE) results for Pm2Co2Ge after structural relaxation.

Properties
**Energy relative to the elements**: -387 meV per atom
**Calculated density**: 8.338 g/cm3
**Magnetization**: 0.00 Bohr magnetons per cell
**Calculated total energy**: -60.53 eV/cell

Unit cell a=5.4347 b=5.4347 c=7.6107 alpha=101.54 beta=101.54 gamma=61.08
Fractional coordinates of all 10 atoms:
1 Pm 0.0029 0.2913 0.1472
2 Pm 0.2913 0.0029 0.6472
3 Pm 0.7087 0.9971 0.3528
4 Pm 0.9971 0.7087 0.8528
5 Co 0.2230 0.4994 0.4987
6 Co 0.4994 0.2230 0.9987
7 Co 0.5006 0.7770 0.0013
8 Co 0.7770 0.5006 0.5013
9 Ge 0.3720 0.6280 0.2500
10 Ge 0.6280 0.3720 0.7500

***

(8)
DFT (GGA-PBE) results for Pm2Co3Ge4 after structural relaxation.

Properties
**Energy relative to the elements**: -504 meV per atom
**Calculated density**: 8.363 g/cm3
**Magnetization**: 0.04 Bohr magnetons per cell
**Calculated total energy**: -107.65 eV/cell

Unit cell a=7.8850 b=7.8850 c=7.3024 alpha=90.00 beta=90.00 gamma=138.52
Fractional coordinates of all 18 atoms:
1 Pm 0.1112 0.8888 0.9036
2 Pm 0.3888 0.6112 0.4036
3 Pm 0.6112 0.3888 0.5964
4 Pm 0.8888 0.1112 0.0964
5 Co 0.0000 0.0000 0.5000
6 Co 0.0254 0.4746 0.7500
7 Co 0.4746 0.0254 0.2500
8 Co 0.5000 0.5000 0.0000
9 Co 0.5254 0.9746 0.7500
10 Co 0.9746 0.5254 0.2500
11 Ge 0.1869 0.8131 0.5210
12 Ge 0.1897 0.3103 0.7500
13 Ge 0.3103 0.1897 0.2500
14 Ge 0.3131 0.6869 0.0210
15 Ge 0.6869 0.3131 0.9790
16 Ge 0.6897 0.8103 0.7500
17 Ge 0.8103 0.6897 0.2500
18 Ge 0.8131 0.1869 0.4790

***

(9)
DFT (GGA-PBE) results for PmCo6Ge6 after structural relaxation.

Properties
**Energy relative to the elements**: -319 meV per atom
**Calculated density**: 8.655 g/cm3
**Magnetization**: 0.00 Bohr magnetons per cell
**Calculated total energy**: -79.24 eV/cell

Unit cell a=6.4652 b=6.4652 c=6.4652 alpha=133.36 beta=104.58 gamma=93.54
Fractional coordinates of all 13 atoms:
1 Pm 0.0000 0.0000 0.0000
2 Co 0.0000 0.0000 0.5000
3 Co 0.0000 0.5000 0.0000
4 Co 0.2535 0.5000 0.7535
5 Co 0.5000 0.0000 0.0000
6 Co 0.5000 0.5000 0.5000
7 Co 0.7465 0.5000 0.2465
8 Ge 0.1720 0.6720 0.5000
9 Ge 0.3381 0.3381 0.0000
10 Ge 0.3466 0.0000 0.3466
11 Ge 0.6534 0.0000 0.6534
12 Ge 0.6619 0.6619 0.0000
13 Ge 0.8280 0.3280 0.5000

***

(10)
DFT (GGA-PBE) results for Pm6Co2Ge after structural relaxation.

Properties
**Energy relative to the elements**: -154 meV per atom
**Calculated density**: 7.648 g/cm3
**Magnetization**: 0.00 Bohr magnetons per cell
**Calculated total energy**: -48.72 eV/cell

Unit cell a=5.6576 b=5.6576 c=9.1324 alpha=97.91 beta=97.91 gamma=52.86
Fractional coordinates of all 9 atoms:
1 Pm 0.0329 0.0329 0.3316
2 Pm 0.2816 0.2816 0.6494
3 Pm 0.3475 0.3475 0.1072
4 Pm 0.6525 0.6525 0.8928
5 Pm 0.7184 0.7184 0.3506
6 Pm 0.9671 0.9671 0.6684
7 Co 0.3963 0.3963 0.4074
8 Co 0.6037 0.6037 0.5926
9 Ge 0.0000 0.0000 0.0000

***

Question: Which of these has the highest calculated density?
Answer: PmCo6Ge6